No. 1
Computed, not measured: a geometry-optimized PmEr7In2 structure at the PBE level of DFT.

Cell: 5.4783 8.8286 8.8286 Å, 118.17 90.00 90.00°
Site moments in Bohr magnetons follow the coordinates.
Positions (direct):
Er: 0.5000 0.5000 0.5000  0.07
Er: 0.5000 0.3034 0.0582  0.11
Er: 0.5000 0.9418 0.6966  0.11
Er: 0.5000 0.0582 0.3034  0.11
Er: 0.5000 0.6966 0.9418  0.11
Er: 0.0000 0.7673 0.2327  0.09
Er: 0.0000 0.2327 0.7673  0.09
In: 0.5000 0.3030 0.6970  0.01
In: 0.5000 0.6970 0.3030  0.01
Pm: 0.0000 0.0000 0.0000  0.10

## Properties
For the mass density, the calculation gives 6.82 Mg/m³. The value obtained for the formation energy is 352 meV per atom. As for the symmetry: Cmmm.


No. 2
Computed, not measured: a geometry-optimized Pm15Er2In2 structure at the PBE level of DFT.

Cell: 8.7138 8.7138 8.7138 Å, 79.28 79.28 79.28°
Positions (direct):
Pm: 0.3762 0.3762 0.8417
Pm: 0.7076 0.2924 0.0000
Pm: 0.7076 0.0000 0.2924
Pm: 0.0000 0.5000 0.0000
Pm: 0.6238 0.6238 0.1583
Pm: 0.6238 0.1583 0.6238
Pm: 0.0000 0.0000 0.5000
Pm: 0.8417 0.3762 0.3762
Pm: 0.1583 0.6238 0.6238
Pm: 0.3762 0.8417 0.3762
Pm: 0.2924 0.0000 0.7076
Pm: 0.5000 0.0000 0.0000
Pm: 0.0000 0.2924 0.7076
Pm: 0.2924 0.7076 0.0000
Pm: 0.0000 0.7076 0.2924
In: 0.0945 0.0945 0.0945
In: 0.9055 0.9055 0.9055
Er: 0.6891 0.6891 0.6891
Er: 0.3109 0.3109 0.3109

## Properties
For the mass density, the calculation gives 7.21 Mg/m³. The value obtained for the formation energy is 147 meV per atom. As for the symmetry: R-3m.


No. 3
Computed, not measured: a geometry-optimized Pm5Er4In4 structure at the PBE level of DFT.

Cell: 5.0695 9.1616 9.1616 Å, 85.61 73.94 73.94°
Positions (direct):
In: 0.7618 0.3394 0.1370
In: 0.8988 0.8630 0.3394
In: 0.2382 0.6606 0.8630
In: 0.1012 0.1370 0.6606
Er: 0.3964 0.6988 0.5084
Er: 0.6036 0.3012 0.4916
Er: 0.0952 0.5084 0.3012
Er: 0.9048 0.4916 0.6988
Pm: 0.3084 0.0917 0.2914
Pm: 0.4002 0.2914 0.9083
Pm: 0.6916 0.9083 0.7086
Pm: 0.0000 0.0000 0.0000
Pm: 0.5998 0.7086 0.0917

## Properties
For the mass density, the calculation gives 7.83 Mg/m³. The value obtained for the formation energy is -311 meV per atom. As for the symmetry: I4/m.


No. 4
Computed, not measured: a geometry-optimized PmEr4In structure at the PBE level of DFT.

Cell: 3.5589 3.5589 14.1751 Å, 90.00 90.00 90.00°
Positions (direct):
Pm: 0.0000 0.0000 0.0000
Er: 0.5000 0.5000 0.8207
Er: 0.5000 0.5000 0.1793
Er: 0.0000 0.0000 0.6469
Er: 0.0000 0.0000 0.3531
In: 0.5000 0.5000 0.5000

## Properties
For the mass density, the calculation gives 8.59 Mg/m³. The value obtained for the formation energy is -148 meV per atom. As for the polymorph energy (0 for the lowest one): 0 meV per atom. As for the symmetry: P4/mmm.


No. 5
Computed, not measured: a geometry-optimized Pm5Er2In structure at the PBE level of DFT.

Cell: 7.6345 7.6343 6.9069 Å, 123.55 123.55 90.01°
Positions (direct):
Pm: 0.2415 0.2415 0.9380
Pm: 0.2414 0.6967 0.9382
Pm: 0.6965 0.2413 0.9379
Pm: 0.7727 0.7727 0.5452
Pm: 0.6966 0.6966 0.9382
Er: 0.2182 0.7180 0.4363
Er: 0.7182 0.2183 0.4363
In: 0.1919 0.1920 0.3839

## Properties
For the mass density, the calculation gives 7.77 Mg/m³. The value obtained for the formation energy is -61 meV per atom. As for the polymorph energy (0 for the lowest one): 23 meV per atom. As for the symmetry: I4mm.


No. 6
Computed, not measured: a geometry-optimized Pm4Er3In structure at the PBE level of DFT.

Cell: 7.0021 7.0708 10.0539 Å, 90.00 90.00 90.00°
Positions (direct):
Er: 0.9998 0.3105 0.0000
Er: 0.0002 0.8105 0.5000
Er: 0.2573 0.0606 0.7501
Er: 0.7427 0.5606 0.7499
Er: 0.7427 0.5606 0.2501
Er: 0.2573 0.0606 0.2499
Pm: 0.4999 0.8105 0.5000
Pm: 0.0005 0.3107 0.5000
Pm: 0.5001 0.3105 0.0000
Pm: 0.7523 0.0606 0.2503
Pm: 0.2477 0.5606 0.7503
Pm: 0.7523 0.0606 0.7497
Pm: 0.2477 0.5606 0.2497
Pm: 0.9995 0.8107 0.0000
In: 0.5000 0.3106 0.5000
In: 0.5000 0.8106 0.0000

## Properties
For the mass density, the calculation gives 7.98 Mg/m³. The value obtained for the formation energy is -79 meV per atom. As for the polymorph energy (0 for the lowest one): 0 meV per atom. As for the symmetry: Pmna.


No. 7
Computed, not measured: a geometry-optimized PmEr4In4 structure at the PBE level of DFT.

Cell: 7.2218 7.2218 10.4837 Å, 90.00 90.00 90.00°
Positions (direct):
Er: 0.2329 0.5000 0.9111
Er: 0.5000 0.7671 0.0889
Er: 0.7671 0.5000 0.9111
Er: 0.5000 0.2329 0.0889
Er: 0.2671 0.0000 0.5889
Er: 0.0000 0.2671 0.4111
Er: 0.7329 0.0000 0.5889
Er: 0.0000 0.7329 0.4111
In: 0.7128 0.0000 0.2910
In: 0.2128 0.5000 0.2090
In: 0.7872 0.5000 0.2090
In: 0.0000 0.2872 0.7090
In: 0.0000 0.7128 0.7090
In: 0.5000 0.2128 0.7910
In: 0.5000 0.7872 0.7910
In: 0.2872 0.0000 0.2910
Pm: 0.5000 0.5000 0.5000
Pm: 0.0000 0.0000 0.0000

## Properties
For the mass density, the calculation gives 7.73 Mg/m³. The value obtained for the formation energy is -164 meV per atom. As for the symmetry: P4_2/nmc.


No. 8
Computed, not measured: a geometry-optimized Pm3Er3In structure at the PBE level of DFT.

Cell: 5.5791 9.4617 9.4625 Å, 120.03 90.00 90.00°
Positions (direct):
Pm: 0.2500 0.3695 0.8944
Pm: 0.2500 0.1056 0.4752
Pm: 0.2500 0.5245 0.6303
Pm: 0.7500 0.4755 0.3697
Pm: 0.7500 0.8944 0.5248
Pm: 0.7500 0.6305 0.1056
Er: 0.2500 0.2363 0.1768
Er: 0.2500 0.9402 0.7635
Er: 0.7500 0.1767 0.9405
Er: 0.7500 0.7637 0.8232
Er: 0.7500 0.0598 0.2365
Er: 0.2500 0.8233 0.0595
In: 0.2500 0.6667 0.3330
In: 0.7500 0.3333 0.6670

## Properties
For the mass density, the calculation gives 8.08 Mg/m³. The value obtained for the formation energy is -114 meV per atom. As for the symmetry: P2_1/m.


No. 9
Computed, not measured: a geometry-optimized Pm3Er2In4 structure at the PBE level of DFT.

Cell: 7.1312 10.0493 8.4555 Å, 90.00 114.94 90.00°
Positions (direct):
Pm: 0.5229 0.7500 0.5459
Pm: 0.5000 0.5000 0.0000
Pm: 0.0229 0.7500 0.5459
Pm: 0.4771 0.2500 0.4541
Pm: 0.0000 0.0000 0.0000
Pm: 0.9771 0.2500 0.4541
In: 0.7440 0.7500 0.9881
In: 0.3025 0.4865 0.6050
In: 0.6975 0.5135 0.3950
In: 0.2560 0.2500 0.0119
In: 0.2440 0.7500 0.9881
In: 0.7560 0.2500 0.0119
In: 0.1975 0.9865 0.3950
In: 0.8025 0.0135 0.6050
Er: 0.8961 0.4680 0.7921
Er: 0.1039 0.5320 0.2079
Er: 0.3961 0.0320 0.7921
Er: 0.6039 0.9680 0.2079

## Properties
For the mass density, the calculation gives 7.43 Mg/m³. The value obtained for the formation energy is -230 meV per atom. As for the symmetry: Cmce.


No. 10
Computed, not measured: a geometry-optimized Pm2Er7In2 structure at the PBE level of DFT.

Cell: 8.5215 6.3075 6.3075 Å, 93.66 80.98 80.98°
Positions (direct):
Er: 0.2859 0.9306 0.5512
Er: 0.7141 0.0694 0.4488
Er: 0.2859 0.5512 0.9306
Er: 0.5000 0.0000 0.0000
Er: 0.7141 0.4488 0.0694
Er: 0.9201 0.8410 0.8410
Er: 0.0799 0.1590 0.1590
Pm: 0.3503 0.3994 0.3994
Pm: 0.6497 0.6006 0.6006
In: 0.0000 0.6791 0.3209
In: 0.0000 0.3209 0.6791

## Properties
For the mass density, the calculation gives 8.52 Mg/m³. The value obtained for the formation energy is -87 meV per atom. As for the symmetry: C2/m.


No. 11
Computed, not measured: a geometry-optimized Pm2ErIn9 structure at the PBE level of DFT.

Cell: 4.6737 4.6737 14.0056 Å, 90.00 90.00 90.00°
Positions (direct):
In: 0.5000 0.5000 0.6673
In: 0.0000 0.5000 0.5000
In: 0.5000 0.0000 0.1630
In: 0.5000 0.5000 0.3327
In: 0.5000 0.0000 0.5000
In: 0.5000 0.0000 0.8370
In: 0.0000 0.5000 0.8370
In: 0.5000 0.5000 0.0000
In: 0.0000 0.5000 0.1630
Er: 0.0000 0.0000 0.0000
Pm: 0.0000 0.0000 0.6682
Pm: 0.0000 0.0000 0.3318

## Properties
For the mass density, the calculation gives 8.09 Mg/m³. The value obtained for the formation energy is -440 meV per atom. As for the symmetry: P4/mmm.


No. 12
Computed, not measured: a geometry-optimized Pm5Er3In12 structure at the PBE level of DFT.

Cell: 15.6043 15.6043 15.6043 Å, 109.47 109.47 109.47°
Positions (direct):
Pm: 0.7500 0.6250 0.3750
Pm: 0.6250 0.8750 0.2500
Pm: 0.8750 0.6250 0.7500
Pm: 0.3750 0.2500 0.1250
Pm: 0.0000 0.0000 0.0000
Pm: 0.2500 0.8750 0.1250
Pm: 0.0000 0.0000 0.5000
Pm: 0.0000 0.5000 0.0000
Pm: 0.1250 0.3750 0.2500
Pm: 0.6250 0.7500 0.8750
Pm: 0.0000 0.5000 0.5000
Pm: 0.5000 0.5000 0.0000
Pm: 0.5000 0.0000 0.5000
Pm: 0.3750 0.1250 0.7500
Pm: 0.7500 0.1250 0.8750
Pm: 0.5000 0.5000 0.5000
Pm: 0.8750 0.2500 0.6250
Pm: 0.2500 0.3750 0.6250
Pm: 0.1250 0.7500 0.3750
Pm: 0.5000 0.0000 0.0000
In: 0.3507 0.5794 0.4261
In: 0.4206 0.7713 0.8467
In: 0.6533 0.0794 0.2287
In: 0.5794 0.3507 0.9261
In: 0.7287 0.1533 0.0794
In: 0.9246 0.0739 0.6533
In: 0.3467 0.9206 0.7713
In: 0.5739 0.9206 0.6493
In: 0.1533 0.4246 0.0739
In: 0.9206 0.3467 0.2713
In: 0.6493 0.2287 0.5754
In: 0.2287 0.6493 0.0754
In: 0.1493 0.0754 0.7287
In: 0.9246 0.8507 0.7713
In: 0.0739 0.1493 0.4206
In: 0.5739 0.6533 0.4246
In: 0.7713 0.3507 0.9246
In: 0.4246 0.2713 0.3507
In: 0.3467 0.4261 0.0754
In: 0.4246 0.1533 0.5739
In: 0.0739 0.9246 0.1533
In: 0.0754 0.1493 0.2287
In: 0.8507 0.9261 0.0794
In: 0.9261 0.0754 0.8467
In: 0.4261 0.0794 0.3507
In: 0.0754 0.9261 0.3467
In: 0.8507 0.9246 0.2713
In: 0.3507 0.7713 0.4246
In: 0.9206 0.5739 0.1493
In: 0.6493 0.4206 0.5739
In: 0.7713 0.4206 0.3467
In: 0.2713 0.8467 0.9206
In: 0.2713 0.4246 0.8507
In: 0.4261 0.3467 0.5754
In: 0.8467 0.2713 0.4206
In: 0.5794 0.2287 0.1533
In: 0.0794 0.6533 0.7287
In: 0.6533 0.5739 0.9246
In: 0.2287 0.5794 0.6533
In: 0.9261 0.8507 0.5794
In: 0.5754 0.7287 0.6493
In: 0.5754 0.8467 0.4261
In: 0.1493 0.0739 0.9206
In: 0.8467 0.5754 0.9261
In: 0.0794 0.4261 0.8507
In: 0.7287 0.5754 0.1493
In: 0.4206 0.6493 0.0739
In: 0.1533 0.7287 0.5794
Er: 0.3750 0.6250 0.2500
Er: 0.6250 0.3750 0.7500
Er: 0.1250 0.2500 0.8750
Er: 0.8750 0.7500 0.1250
Er: 0.2500 0.1250 0.3750
Er: 0.7500 0.3750 0.1250
Er: 0.3750 0.7500 0.6250
Er: 0.1250 0.8750 0.7500
Er: 0.2500 0.6250 0.8750
Er: 0.6250 0.2500 0.3750
Er: 0.7500 0.8750 0.6250
Er: 0.8750 0.1250 0.2500

## Properties
For the mass density, the calculation gives 5.91 Mg/m³. The value obtained for the formation energy is 128 meV per atom. As for the symmetry: Ia-3d.